The following is a DFT calculation (PBE) of a geometry-optimized HfPtRh2 structure.

a b c (Å): 3.886 3.886 18.418
angles (deg): 90.00 90.00 90.00
Positions (direct):
Hf1 0.000 0.000 0.000
Hf2 0.000 0.500 0.250
Hf3 0.500 0.000 0.750
Hf4 0.500 0.500 0.500
Pt1 0.000 0.000 0.500
Pt2 0.000 0.500 0.750
Pt3 0.500 0.000 0.250
Pt4 0.500 0.500 0.000
Rh1 0.236 0.250 0.625
Rh2 0.250 0.736 0.875
Rh3 0.250 0.764 0.375
Rh4 0.264 0.250 0.125
Rh5 0.736 0.750 0.125
Rh6 0.750 0.236 0.375
Rh7 0.750 0.264 0.875
Rh8 0.764 0.750 0.625

Output
formation enthalpy at 0 K: -353.3 meV/atom
density of states at the Fermi level: 4.04 states/eV/f.u.
spin magnetization: 0.00 μB per cell
space-group type: I-42d, No. 122

=====

The following is a DFT calculation (PBE) of a geometry-optimized HfPt7Rh4 structure.

a b c (Å): 4.866 5.576 7.384
angles (deg): 100.92 109.04 90.11
Positions (direct):
Hf1 0.000 0.000 0.000
Pt1 0.000 0.500 0.000
Pt2 0.165 0.919 0.664
Pt3 0.327 0.333 0.329
Pt4 0.500 0.251 0.999
Pt5 0.500 0.749 0.001
Pt6 0.673 0.667 0.671
Pt7 0.835 0.081 0.336
Rh1 0.164 0.415 0.663
Rh2 0.340 0.831 0.333
Rh3 0.660 0.169 0.667
Rh4 0.836 0.585 0.337

Output
formation enthalpy at 0 K: -346.8 meV/atom
density of states at the Fermi level: 17.10 states/eV/f.u.
spin magnetization: 0.00 μB per cell
space-group type: P-1, No. 2

=====

The following is a DFT calculation (PBE) of a geometry-optimized HfPt2Rh3 structure.

a b c (Å): 4.823 5.628 6.878
angles (deg): 90.00 91.68 90.00
Positions (direct):
Hf1 0.192 0.000 0.327
Hf2 0.808 0.000 0.673
Pt1 0.177 0.500 0.338
Pt2 0.500 0.000 0.000
Pt3 0.500 0.500 0.000
Pt4 0.823 0.500 0.662
Rh1 0.000 0.255 0.000
Rh2 0.000 0.745 0.000
Rh3 0.316 0.251 0.666
Rh4 0.316 0.749 0.666
Rh5 0.684 0.251 0.334
Rh6 0.684 0.749 0.334

Output
formation enthalpy at 0 K: -498.4 meV/atom
density of states at the Fermi level: 7.01 states/eV/f.u.
spin magnetization: 0.00 μB per cell
space-group type: P2/m, No. 10

=====

The following is a DFT calculation (PBE) of a geometry-optimized HfPt2Rh4 structure.

a b c (Å): 4.811 6.262 7.375
angles (deg): 89.93 89.83 75.28
Positions (direct):
Hf1 0.000 0.000 0.000
Hf2 0.001 0.499 0.504
Pt1 0.144 0.569 0.142
Pt2 0.294 0.135 0.286
Pt3 0.707 0.862 0.717
Pt4 0.710 0.359 0.219
Rh1 0.145 0.063 0.644
Rh2 0.296 0.633 0.783
Rh3 0.422 0.221 0.922
Rh4 0.422 0.719 0.429
Rh5 0.576 0.782 0.074
Rh6 0.578 0.281 0.579
Rh7 0.852 0.435 0.856
Rh8 0.855 0.933 0.360

Output
formation enthalpy at 0 K: -456.2 meV/atom
density of states at the Fermi level: 9.04 states/eV/f.u.
spin magnetization: 0.00 μB per cell
space-group type: P1, No. 1

=====

The following is a DFT calculation (PBE) of a geometry-optimized HfPt4Rh structure.

a b c (Å): 4.901 8.538 4.877
angles (deg): 90.00 109.97 90.00
Positions (direct):
Hf1 0.000 0.000 0.000
Hf2 0.500 0.500 0.000
Pt1 0.000 0.168 0.500
Pt2 0.000 0.336 0.000
Pt3 0.000 0.664 0.000
Pt4 0.000 0.832 0.500
Pt5 0.500 0.164 0.000
Pt6 0.500 0.332 0.500
Pt7 0.500 0.668 0.500
Pt8 0.500 0.836 0.000
Rh1 0.000 0.500 0.500
Rh2 0.500 0.000 0.500

Output
formation enthalpy at 0 K: -684.3 meV/atom
density of states at the Fermi level: 5.03 states/eV/f.u.
spin magnetization: 0.00 μB per cell
space-group type: C2/m, No. 12

=====

The following is a DFT calculation (PBE) of a geometry-optimized Hf4Pt4Rh5 structure.

a b c (Å): 7.549 7.549 7.549
angles (deg): 94.07 94.07 149.11
Positions (direct):
Hf1 0.130 0.776 0.906
Hf2 0.224 0.130 0.354
Hf3 0.776 0.870 0.646
Hf4 0.870 0.224 0.094
Pt1 0.089 0.383 0.472
Pt2 0.383 0.911 0.294
Pt3 0.617 0.089 0.706
Pt4 0.911 0.617 0.528
Rh1 0.000 0.000 0.000
Rh2 0.310 0.551 0.860
Rh3 0.449 0.310 0.759
Rh4 0.551 0.690 0.241
Rh5 0.690 0.449 0.140

Output
formation enthalpy at 0 K: -928.0 meV/atom
density of states at the Fermi level: 8.65 states/eV/f.u.
spin magnetization: 0.00 μB per cell
space-group type: I4/m, No. 87

=====

The following is a DFT calculation (PBE) of a geometry-optimized Hf7Pt2Rh2 structure.

a b c (Å): 6.117 6.117 6.656
angles (deg): 90.17 90.17 72.22
Positions (direct):
Hf1 0.000 0.000 0.000
Hf2 0.000 0.499 0.730
Hf3 0.000 0.501 0.270
Hf4 0.499 0.000 0.730
Hf5 0.499 0.499 0.740
Hf6 0.501 0.000 0.270
Hf7 0.501 0.501 0.260
Pt1 0.199 0.801 0.500
Pt2 0.801 0.199 0.500
Rh1 0.287 0.287 0.001
Rh2 0.713 0.713 0.999

Output
formation enthalpy at 0 K: -341.6 meV/atom
density of states at the Fermi level: 11.80 states/eV/f.u.
excess energy over the best structure of this formula in the dataset: 329 meV per atom
spin magnetization: 0.00 μB per cell
space-group type: C2/m, No. 12

=====

The following is a DFT calculation (PBE) of a geometry-optimized Hf6PtRh5 structure.

a b c (Å): 8.058 8.058 4.641
angles (deg): 106.39 106.39 47.71
Positions (direct):
Hf1 0.082 0.584 0.333
Hf2 0.249 0.751 0.000
Hf3 0.416 0.918 0.667
Hf4 0.584 0.082 0.333
Hf5 0.751 0.249 0.000
Hf6 0.918 0.416 0.667
Pt1 0.000 0.000 0.500
Rh1 0.178 0.178 0.177
Rh2 0.339 0.339 0.836
Rh3 0.500 0.500 0.500
Rh4 0.661 0.661 0.164
Rh5 0.822 0.822 0.823

Output
formation enthalpy at 0 K: -884.8 meV/atom
density of states at the Fermi level: 9.19 states/eV/f.u.
spin magnetization: 0.00 μB per cell
space-group type: C2/m, No. 12

=====

The following is a DFT calculation (PBE) of a geometry-optimized Hf6PtRh3 structure.

a b c (Å): 7.142 6.573 11.000
angles (deg): 90.00 128.79 90.00
Positions (direct):
Hf1 0.000 0.103 0.250
Hf2 0.000 0.397 0.750
Hf3 0.000 0.603 0.250
Hf4 0.000 0.897 0.750
Hf5 0.220 0.137 0.061
Hf6 0.220 0.363 0.561
Hf7 0.399 0.663 0.072
Hf8 0.399 0.837 0.572
Hf9 0.601 0.163 0.428
Hf10 0.601 0.337 0.928
Hf11 0.780 0.637 0.439
Hf12 0.780 0.863 0.939
Pt1 0.000 0.000 0.500
Pt2 0.000 0.500 0.000
Rh1 0.331 0.653 0.787
Rh2 0.331 0.847 0.287
Rh3 0.500 0.000 0.000
Rh4 0.500 0.500 0.500
Rh5 0.669 0.153 0.713
Rh6 0.669 0.347 0.213

Output
formation enthalpy at 0 K: -526.7 meV/atom
density of states at the Fermi level: 8.22 states/eV/f.u.
spin magnetization: 0.00 μB per cell
space-group type: P2_1/c, No. 14

=====

The following is a DFT calculation (PBE) of a geometry-optimized Hf2Pt3Rh3 structure.

a b c (Å): 3.984 4.021 7.887
angles (deg): 90.00 90.00 90.00
Positions (direct):
Hf1 0.000 0.000 0.246
Hf2 0.000 0.000 0.754
Pt1 0.000 0.500 0.500
Pt2 0.500 0.500 0.249
Pt3 0.500 0.500 0.751
Rh1 0.000 0.500 0.000
Rh2 0.500 0.000 0.000
Rh3 0.500 0.000 0.500

Output
formation enthalpy at 0 K: -985.6 meV/atom
density of states at the Fermi level: 5.15 states/eV/f.u.
spin magnetization: 0.00 μB per cell
space-group type: Pmmm, No. 47

=====

The following is a DFT calculation (PBE) of a geometry-optimized Hf2Pt3Rh structure.

a b c (Å): 7.836 7.836 7.836
angles (deg): 138.05 60.81 138.07
Positions (direct):
Hf1 0.165 0.250 0.415
Hf2 0.335 0.750 0.086
Hf3 0.665 0.250 0.914
Hf4 0.835 0.750 0.585
Pt1 0.141 0.746 0.888
Pt2 0.250 0.250 0.000
Pt3 0.359 0.246 0.605
Pt4 0.641 0.754 0.395
Pt5 0.750 0.750 0.000
Pt6 0.859 0.254 0.112
Rh1 0.250 0.750 0.500
Rh2 0.750 0.250 0.500

Output
formation enthalpy at 0 K: -921.5 meV/atom
density of states at the Fermi level: 2.88 states/eV/f.u.
spin magnetization: 0.00 μB per cell
space-group type: Ibam, No. 72

=====

The following is a DFT calculation (PBE) of a geometry-optimized Hf2Pt9Rh structure.

a b c (Å): 4.003 4.003 12.030
angles (deg): 90.00 90.00 90.00
Positions (direct):
Hf1 0.000 0.000 0.172
Hf2 0.000 0.000 0.828
Pt1 0.000 0.500 0.000
Pt2 0.000 0.500 0.333
Pt3 0.000 0.500 0.667
Pt4 0.500 0.000 0.000
Pt5 0.500 0.000 0.333
Pt6 0.500 0.000 0.667
Pt7 0.500 0.500 0.167
Pt8 0.500 0.500 0.500
Pt9 0.500 0.500 0.833
Rh1 0.000 0.000 0.500

Output
formation enthalpy at 0 K: -723.5 meV/atom
density of states at the Fermi level: 13.66 states/eV/f.u.
spin magnetization: 0.01 μB per cell
space-group type: P4/mmm, No. 123

=====

Question: The highest spin magnetization belongs to which entry?
Answer: Hf2Pt9Rh

=====

Question: What is the formula in the sixth record?
Answer: Hf4Pt4Rh5

=====

Question: What is the spin magnetization in the fifth record?
Answer: 0.00 μB per cell

=====

Question: What is the spin magnetization in the tenth record?
Answer: 0.00 μB per cell